The following is a PBE calculation of a geometry-optimized NbTlCd2 structure, from OQMD via LeMat-Bulk.

Computed properties:
Total magnetic moment (μB/cell): 2.012

abc: 4.959 4.959 4.959
angles: 60.00 60.00 60.00
Fractional positions:
Nb: 0.000 0.000 0.000
Tl: 0.250 0.250 0.250
Cd: 0.500 0.500 0.500
Cd: 0.750 0.750 0.750



The following is a PBE calculation of a geometry-optimized InPt7 structure, from OQMD via LeMat-Bulk.

Computed properties:
Total magnetic moment (μB/cell): 0.030
Relative energy among the computed polymorphs (eV per formula unit): 0.00

abc: 2.804 3.917 34.319
angles: 90.00 90.00 90.00
Fractional positions:
In: 0.250 0.250 0.186
In: 0.750 0.750 0.814
Pt: 0.250 0.250 0.273
Pt: 0.250 0.250 0.356
Pt: 0.250 0.250 0.438
Pt: 0.250 0.250 0.521
Pt: 0.250 0.250 0.603
Pt: 0.250 0.250 0.686
Pt: 0.250 0.250 0.771
Pt: 0.750 0.750 0.229
Pt: 0.750 0.750 0.314
Pt: 0.750 0.750 0.397
Pt: 0.750 0.750 0.479
Pt: 0.750 0.750 0.562
Pt: 0.750 0.750 0.644
Pt: 0.750 0.750 0.727



The following is a PBE calculation of a geometry-optimized TbSbN2O structure, from OQMD via LeMat-Bulk.

Computed properties:
Total magnetic moment (μB/cell): 0.002

abc: 4.021 4.021 3.932
angles: 90.00 90.00 90.00
Fractional positions:
Tb: 0.000 0.000 0.000
Sb: 0.500 0.500 0.500
N: 0.000 0.500 0.500
N: 0.500 0.000 0.500
O: 0.500 0.500 0.000



The following is a PBE calculation of a geometry-optimized TlCuTePtS2 structure, from OQMD via LeMat-Bulk.

Computed properties:
Total magnetic moment (μB/cell): 0.003

abc: 7.586 7.586 10.746
angles: 90.00 90.00 152.68
Fractional positions:
Tl: 0.246 0.754 0.750
Tl: 0.754 0.246 0.250
Cu: 0.093 0.907 0.250
Cu: 0.907 0.093 0.750
Te: 0.446 0.554 0.250
Te: 0.554 0.446 0.750
Pt: 0.500 0.500 0.000
Pt: 0.500 0.500 0.500
S: 0.105 0.895 0.040
S: 0.105 0.895 0.460
S: 0.895 0.105 0.540
S: 0.895 0.105 0.960



The following is a PBE calculation of a geometry-optimized HfMgNbRe structure, from OQMD via LeMat-Bulk.

Computed properties:
Total magnetic moment (μB/cell): 0.004
Relative energy among the computed polymorphs (eV per formula unit): 0.00

abc: 4.667 4.667 4.667
angles: 60.00 60.00 60.00
Fractional positions:
Hf: 0.000 0.000 0.000
Mg: 0.250 0.250 0.250
Nb: 0.500 0.500 0.500
Re: 0.750 0.750 0.750



The following is a PBE calculation of a geometry-optimized Cu2Ag structure, from OQMD via LeMat-Bulk.

Computed properties:
Calculated formation energy (eV per atom): 0.0954
Relative energy among the computed polymorphs (eV per formula unit): 0.15

abc: 2.730 2.730 13.074
angles: 90.00 90.00 120.00
Fractional positions:
Cu: 0.000 0.000 0.228
Cu: 0.000 0.000 0.772
Cu: 0.333 0.667 0.076
Cu: 0.667 0.333 0.924
Ag: 0.333 0.667 0.598
Ag: 0.667 0.333 0.402



The following is a PBE calculation of a geometry-optimized Cu9Ag structure, from OQMD via LeMat-Bulk.

Computed properties:
Calculated formation energy (eV per atom): 0.0392
Relative energy among the computed polymorphs (eV per formula unit): 0.03

abc: 4.505 4.505 8.205
angles: 90.14 90.14 48.09
Fractional positions:
Cu: 0.000 0.000 0.000
Cu: 0.105 0.105 0.711
Cu: 0.201 0.201 0.391
Cu: 0.300 0.300 0.098
Cu: 0.399 0.399 0.809
Cu: 0.601 0.601 0.191
Cu: 0.700 0.700 0.902
Cu: 0.799 0.799 0.609
Cu: 0.895 0.895 0.289
Ag: 0.500 0.500 0.500



The following is a PBE calculation of a geometry-optimized CsCoCuTeS2 structure, from OQMD via LeMat-Bulk.

Computed properties:
Total magnetic moment (μB/cell): 0.011

abc: 8.506 8.506 9.789
angles: 90.00 90.00 155.95
Fractional positions:
Cs: 0.228 0.772 0.750
Cs: 0.772 0.228 0.250
Co: 0.000 0.000 0.000
Co: 0.000 0.000 0.500
Cu: 0.454 0.546 0.250
Cu: 0.546 0.454 0.750
Te: 0.068 0.932 0.250
Te: 0.932 0.068 0.750
S: 0.411 0.589 0.035
S: 0.411 0.589 0.465
S: 0.589 0.411 0.535
S: 0.589 0.411 0.965



The following is a PBE calculation of a geometry-optimized RbNiIr structure, from OQMD via LeMat-Bulk.

Computed properties:
Total magnetic moment (μB/cell): 2.044
Relative energy among the computed polymorphs (eV per formula unit): 0.00

abc: 4.602 4.602 4.602
angles: 60.00 60.00 60.00
Fractional positions:
Rb: 0.000 0.000 0.000
Ni: 0.750 0.750 0.750
Ir: 0.500 0.500 0.500



The following is a PBE calculation of a geometry-optimized BeFeBIr structure, from OQMD via LeMat-Bulk.

Computed properties:
Total magnetic moment (μB/cell): 2.653
Relative energy among the computed polymorphs (eV per formula unit): 2.29

abc: 3.894 3.894 3.894
angles: 60.00 60.00 60.00
Fractional positions:
Be: 0.000 0.000 0.000
Fe: 0.500 0.500 0.500
B: 0.250 0.250 0.250
Ir: 0.750 0.750 0.750



The following is a PBE calculation of a geometry-optimized YSnIr2 structure, from OQMD via LeMat-Bulk.

Computed properties:
Total magnetic moment (μB/cell): 0.347

abc: 4.761 4.761 4.761
angles: 60.00 60.00 60.00
Fractional positions:
Y: 0.000 0.000 0.000
Sn: 0.750 0.750 0.750
Ir: 0.250 0.250 0.250
Ir: 0.500 0.500 0.500



The following is a PBE calculation of a geometry-optimized NiSbMoPt structure, from OQMD via LeMat-Bulk.

Computed properties:
Total magnetic moment (μB/cell): 2.126
Relative energy among the computed polymorphs (eV per formula unit): 0.67

abc: 4.533 4.533 4.533
angles: 60.00 60.00 60.00
Fractional positions:
Ni: 0.000 0.000 0.000
Sb: 0.750 0.750 0.750
Mo: 0.250 0.250 0.250
Pt: 0.500 0.500 0.500



Record-wise calculated total energy values, in eV per atom: -3.0483 -5.6638 -6.7228 -4.1394 -8.5211 -3.3240 -3.5885 -4.2363 -3.5970 -6.5332 -7.0935 -6.4147